No. 1
The following is a DFT calculation (PBE-GGA) of a geometry-optimized Cr3CoCl structure.

a b c (Å): 4.590 4.590 4.590
angles (deg): 90.00 90.00 90.00
Fractional positions:
Cr (0.000, 0.000, 0.500)
Cr (0.000, 0.500, 0.000)
Cr (0.500, 0.000, 0.000)
Co (0.000, 0.000, 0.000)
Cl (0.500, 0.500, 0.500)

Calculated values
Distance to the lowest polymorph of the same formula   0.006 eV/atom
Formation energy from raw total energies   102.5 kJ/mol of atoms

=====

No. 2
The following is a DFT calculation (PBE-GGA) of a geometry-optimized Ti4ZnH8 structure.

a b c (Å): 4.729 4.729 4.729
angles (deg): 90.00 90.00 90.00
Fractional positions:
Ti (0.000, 0.000, 0.000)
Ti (0.000, 0.500, 0.500)
Ti (0.500, 0.000, 0.500)
Ti (0.500, 0.500, 0.000)
Zn (0.500, 0.500, 0.500)
H (0.242, 0.242, 0.242)
H (0.242, 0.242, 0.758)
H (0.242, 0.758, 0.242)
H (0.242, 0.758, 0.758)
H (0.758, 0.242, 0.242)
H (0.758, 0.242, 0.758)
H (0.758, 0.758, 0.242)
H (0.758, 0.758, 0.758)

Calculated values
Electronic total energy   -4.721 eV/atom

=====

No. 3
The following is a DFT calculation (PBE-GGA) of a geometry-optimized Rb2Er2BiSe6 structure.

a b c (Å): 7.182 7.182 8.636
angles (deg): 97.75 97.75 120.28
Fractional positions:
Rb (0.164, 0.836, 0.000)
Rb (0.836, 0.164, 0.000)
Er (0.333, 0.667, 0.500)
Er (0.667, 0.333, 0.500)
Bi (0.000, 0.000, 0.500)
Se (0.064, 0.406, 0.694)
Se (0.280, 0.280, 0.306)
Se (0.406, 0.064, 0.694)
Se (0.594, 0.936, 0.306)
Se (0.720, 0.720, 0.694)
Se (0.936, 0.594, 0.306)

Calculated values
Formation energy from raw total energies   -125.3 kJ/mol of atoms

=====

No. 4
The following is a DFT calculation (PBE-GGA) of a geometry-optimized NpPd2Pt structure.

a b c (Å): 4.128 4.128 4.190
angles (deg): 90.00 90.00 90.00
Fractional positions:
Np (0.000, 0.000, 0.000)
Pd (0.000, 0.500, 0.500)
Pd (0.500, 0.000, 0.500)
Pt (0.500, 0.500, 0.000)

Calculated values
Distance to the lowest polymorph of the same formula   0.000 eV/atom
ΔH_f (0 K)   -0.52 eV/atom

=====

No. 5
The following is a DFT calculation (PBE-GGA) of a geometry-optimized Co2AsRh structure.

a b c (Å): 3.128 3.128 5.384
angles (deg): 90.00 90.00 90.00
Fractional positions:
Co (0.000, 0.000, 0.000)
Co (0.500, 0.500, 0.181)
As (0.500, 0.500, 0.724)
Rh (0.000, 0.000, 0.483)

Calculated values
ΔH_f (0 K)   0.03 eV/atom

=====

No. 6
The following is a DFT calculation (PBE-GGA) of a geometry-optimized VB2Te2 structure.

a b c (Å): 6.720 6.720 3.535
angles (deg): 90.00 90.00 90.00
Fractional positions:
V (0.000, 0.000, 0.000)
V (0.500, 0.500, 0.000)
B (0.180, 0.320, 0.000)
B (0.320, 0.820, 0.000)
B (0.680, 0.180, 0.000)
B (0.820, 0.680, 0.000)
Te (0.171, 0.671, 0.500)
Te (0.329, 0.171, 0.500)
Te (0.671, 0.829, 0.500)
Te (0.829, 0.329, 0.500)

Calculated values
Distance to the lowest polymorph of the same formula   0.231 eV/atom
Formation energy from raw total energies   91.5 kJ/mol of atoms